# 1
ZrAlCd2P, optimized geometry, DFT GGA-PBE; energy = -3.298 eV/atom; magnetic moment = 0.00 μB per atom; space group = P4/mmm, No. 123; energy of formation from the pure elements = 0.608 eV/atom
1.0
5.003 0.000 0.000
0.000 4.585 0.000
0.000 0.000 5.003
P Al Zr Cd
1 1 1 2
direct
0.000 0.500 0.000 P
0.000 0.000 0.000 Al
0.500 0.500 0.500 Zr
0.000 0.000 0.500 Cd
0.500 0.000 0.000 Cd


# 2
PaAlCd, optimized geometry, DFT GGA-PBE; energy = -4.683 eV/atom; polymorph energy (0 for the lowest one) = 64 meV/atom; magnetic moment = 0.00 μB per atom; space group = C2/m, No. 12; energy of formation from the pure elements = 0.035 eV/atom
1.0
-1.625 1.888 1.898
-1.321 -2.561 -1.167
7.990 -5.727 12.533
Pa Al Cd
2 2 2
direct
0.629 0.258 0.905 Pa
0.371 0.742 0.095 Pa
0.847 0.694 0.739 Al
0.153 0.306 0.261 Al
0.401 0.802 0.584 Cd
0.599 0.198 0.416 Cd


# 3
Pa2AlCd, optimized geometry, DFT GGA-PBE; energy = -5.887 eV/atom; polymorph energy (0 for the lowest one) = 45 meV/atom; magnetic moment = 0.01 μB per atom; space group = P4/mmm, No. 123; energy of formation from the pure elements = 0.026 eV/atom
1.0
-0.352 -3.942 -2.737
1.269 -2.440 3.350
-4.132 -0.477 1.218
Pa Al Cd
2 1 1
direct
0.000 0.000 0.500 Pa
0.000 0.500 0.000 Pa
0.500 0.000 0.000 Al
0.500 0.500 0.500 Cd


# 4
PaAl2Cd, optimized geometry, DFT GGA-PBE; energy = -4.470 eV/atom; polymorph energy (0 for the lowest one) = 73 meV/atom; magnetic moment = 0.00 μB per atom; space group = P4/mmm, No. 123; energy of formation from the pure elements = 0.004 eV/atom
1.0
-2.932 -0.046 -0.719
-0.435 -2.287 1.923
-1.712 5.876 6.603
Pa Al Cd
1 2 1
direct
0.500 0.500 0.500 Pa
0.000 0.000 0.753 Al
0.000 0.000 0.247 Al
0.500 0.500 0.000 Cd


# 5
Pa2AlCd, optimized geometry, DFT GGA-PBE; energy = -5.726 eV/atom; polymorph energy (0 for the lowest one) = 206 meV/atom; magnetic moment = 0.02 μB per atom; space group = R-3m, No. 166; energy of formation from the pure elements = 0.187 eV/atom
1.0
-1.547 -2.471 -0.969
1.440 -2.174 -1.624
2.729 -7.218 9.179
Pa Al Cd
2 1 1
direct
0.093 0.093 0.720 Pa
0.907 0.907 0.280 Pa
0.500 0.500 0.500 Al
0.000 0.000 0.000 Cd


# 6
PaAl2Cd, optimized geometry, DFT GGA-PBE; energy = -4.373 eV/atom; polymorph energy (0 for the lowest one) = 170 meV/atom; magnetic moment = 0.12 μB per atom; space group = R-3m, No. 166; energy of formation from the pure elements = 0.101 eV/atom
1.0
4.519 0.000 0.000
2.260 3.914 0.000
2.260 1.305 4.902
Pa Al Cd
1 2 1
direct
0.000 0.000 0.000 Pa
0.778 0.778 0.666 Al
0.222 0.222 0.334 Al
0.500 0.500 0.500 Cd


# 7
PaAl2Cd, optimized geometry, DFT GGA-PBE; energy = -4.543 eV/atom; polymorph energy (0 for the lowest one) = 0 meV/atom; magnetic moment = 0.00 μB per atom; space group = P4/mmm, No. 123; energy of formation from the pure elements = -0.069 eV/atom
1.0
-0.023 3.422 -2.462
-4.503 -0.167 -0.189
-0.251 2.629 3.656
Pa Al Cd
1 2 1
direct
0.500 0.000 0.000 Pa
0.000 0.000 0.500 Al
0.000 0.500 0.000 Al
0.500 0.500 0.500 Cd


# 8
PaAlCd, optimized geometry, DFT GGA-PBE; energy = -4.704 eV/atom; polymorph energy (0 for the lowest one) = 42 meV/atom; magnetic moment = 0.01 μB per atom; space group = I4mm, No. 107; energy of formation from the pure elements = 0.013 eV/atom
1.0
2.998 0.000 0.000
0.000 2.998 0.000
-1.499 -1.499 7.137
Pa Al Cd
1 1 1
direct
0.008 0.008 0.017 Pa
0.668 0.668 0.336 Al
0.323 0.323 0.647 Cd


# 9
Pa2AlCd, optimized geometry, DFT GGA-PBE; energy = -5.932 eV/atom; polymorph energy (0 for the lowest one) = 0 meV/atom; magnetic moment = 0.20 μB per atom; space group = P4/mmm, No. 123; energy of formation from the pure elements = -0.020 eV/atom
1.0
-2.924 0.852 0.413
-0.831 -1.670 -2.443
-1.408 -7.584 5.664
Pa Al Cd
2 1 1
direct
0.000 0.000 0.767 Pa
0.000 0.000 0.233 Pa
0.500 0.500 0.000 Al
0.500 0.500 0.500 Cd


# 10
PaAlCd, optimized geometry, DFT GGA-PBE; energy = -4.747 eV/atom; polymorph energy (0 for the lowest one) = 0 meV/atom; magnetic moment = 0.30 μB per atom; space group = P-6m2, No. 187; energy of formation from the pure elements = -0.029 eV/atom
1.0
-2.587 -1.734 -0.075
1.790 -2.828 3.634
-2.706 3.990 1.080
Pa Al Cd
1 1 1
direct
0.667 0.333 0.667 Pa
0.167 0.000 0.000 Al
0.167 0.667 0.333 Cd


# 11
TmPaAlCd, optimized geometry, DFT GGA-PBE; energy = -4.665 eV/atom; magnetic moment = 0.25 μB per atom; space group = F-43m, No. 216; energy of formation from the pure elements = -0.009 eV/atom
1.0
-1.358 3.764 -3.259
-1.490 -1.158 -4.804
-4.942 0.564 -1.376
Pa Tm Al Cd
1 1 1 1
direct
0.000 0.000 0.000 Pa
0.500 0.500 0.500 Tm
0.250 0.250 0.250 Al
0.750 0.750 0.750 Cd


# 12
PaAlZnCd, optimized geometry, DFT GGA-PBE; energy = -3.807 eV/atom; magnetic moment = 0.00 μB per atom; space group = F-43m, No. 216; energy of formation from the pure elements = 0.050 eV/atom
1.0
4.886 0.000 0.000
2.443 4.232 0.000
2.443 1.411 3.990
Zn Pa Al Cd
1 1 1 1
direct
0.500 0.500 0.500 Zn
0.250 0.250 0.250 Pa
0.000 0.000 0.000 Al
0.750 0.750 0.750 Cd


# 13
Al2CdPb, optimized geometry, DFT GGA-PBE; energy = -2.779 eV/atom; polymorph energy (0 for the lowest one) = 99 meV/atom; magnetic moment = 0.00 μB per atom; space group = I4/mmm, No. 139; energy of formation from the pure elements = 0.248 eV/atom
1.0
5.374 -0.185 0.000
1.545 5.151 0.000
-3.460 -2.483 3.284
Pb Al Cd
1 2 1
direct
0.750 0.250 0.500 Pb
0.000 0.000 0.000 Al
0.500 0.500 0.000 Al
0.250 0.750 0.500 Cd


# 14
AlCdPb, optimized geometry, DFT GGA-PBE; energy = -2.615 eV/atom; polymorph energy (0 for the lowest one) = 0 meV/atom; magnetic moment = 0.00 μB per atom; space group = Fmm2, No. 42; energy of formation from the pure elements = 0.173 eV/atom
1.0
-3.681 3.838 -4.769
-3.887 0.735 -5.901
-3.101 -0.038 1.156
Pb Al Cd
1 1 1
direct
0.659 0.659 0.341 Pb
0.991 0.991 0.009 Al
0.350 0.350 0.650 Cd


# 15
AlCdPb3, optimized geometry, DFT GGA-PBE; energy = -2.491 eV/atom; polymorph energy (0 for the lowest one) = 256 meV/atom; magnetic moment = 0.00 μB per atom; space group = Pm-3m, No. 221; energy of formation from the pure elements = 0.665 eV/atom
1.0
-4.349 -1.949 3.056
-0.950 -3.993 -3.899
3.498 -3.508 2.740
Pb Al Cd
3 1 1
direct
0.000 0.500 0.000 Pb
0.000 0.000 0.500 Pb
0.500 0.000 0.000 Pb
0.500 0.500 0.500 Al
0.000 0.000 0.000 Cd


# 16
AlCd2Pb2, optimized geometry, DFT GGA-PBE; energy = -2.424 eV/atom; polymorph energy (0 for the lowest one) = 0 meV/atom; magnetic moment = 0.00 μB per atom; space group = P4/mbm, No. 127; energy of formation from the pure elements = 0.174 eV/atom
1.0
-3.818 -6.139 1.310
6.241 -3.549 1.557
-0.451 1.297 4.763
Pb Al Cd
4 2 4
direct
0.172 0.672 0.500 Pb
0.672 0.828 0.500 Pb
0.828 0.328 0.500 Pb
0.328 0.172 0.500 Pb
0.000 0.000 0.000 Al
0.500 0.500 0.000 Al
0.360 0.860 0.000 Cd
0.860 0.640 0.000 Cd
0.640 0.140 0.000 Cd
0.140 0.360 0.000 Cd


# 17
Al2CdPb, optimized geometry, DFT GGA-PBE; energy = -2.753 eV/atom; polymorph energy (0 for the lowest one) = 124 meV/atom; magnetic moment = 0.00 μB per atom; space group = P4/mmm, No. 123; energy of formation from the pure elements = 0.274 eV/atom
1.0
-1.754 -3.816 -3.141
4.176 0.639 -3.108
1.708 -2.288 1.825
Pb Al Cd
1 2 1
direct
0.000 0.500 0.500 Pb
0.000 0.000 0.000 Al
0.500 0.500 0.000 Al
0.500 0.000 0.500 Cd


# 18
AlCd2Pb2, optimized geometry, DFT GGA-PBE; energy = -2.338 eV/atom; polymorph energy (0 for the lowest one) = 86 meV/atom; magnetic moment = 0.00 μB per atom; space group = P4/mbm, No. 127; energy of formation from the pure elements = 0.260 eV/atom
1.0
-5.215 -4.417 -3.862
-3.554 -1.732 6.781
-2.727 3.653 -0.496
Pb Al Cd
4 2 4
direct
0.343 0.843 0.000 Pb
0.843 0.657 0.000 Pb
0.657 0.157 0.000 Pb
0.157 0.343 0.000 Pb
0.000 0.000 0.000 Al
0.500 0.500 0.000 Al
0.148 0.648 0.500 Cd
0.648 0.852 0.500 Cd
0.852 0.352 0.500 Cd
0.352 0.148 0.500 Cd


# 19
Al2CdPb, optimized geometry, DFT GGA-PBE; energy = -2.748 eV/atom; polymorph energy (0 for the lowest one) = 130 meV/atom; magnetic moment = 0.00 μB per atom; space group = Cmmm, No. 65; energy of formation from the pure elements = 0.280 eV/atom
1.0
-2.057 2.347 0.348
0.446 -1.638 2.642
7.672 6.336 2.634
Pb Al Cd
1 2 1
direct
0.500 0.500 0.750 Pb
0.000 0.000 0.017 Al
0.000 0.000 0.483 Al
0.500 0.500 0.250 Cd


# 20
AlCdPb, optimized geometry, DFT GGA-PBE; energy = -2.594 eV/atom; polymorph energy (0 for the lowest one) = 21 meV/atom; magnetic moment = 0.00 μB per atom; space group = P3m1, No. 156; energy of formation from the pure elements = 0.195 eV/atom
1.0
-3.471 3.054 1.866
0.090 -4.797 1.358
2.115 0.788 2.644
Pb Al Cd
1 1 1
direct
0.333 0.667 0.666 Pb
0.000 0.000 0.165 Al
0.667 0.333 0.168 Cd